(1)
# P4AuSe, relaxed, DFT PBE-GGA
data_P4AuSe
_chemical_formula_sum 'P4 Au1 Se1'
_cell_length_a 5.6222
_cell_length_b 5.6222
_cell_length_c 5.6222
_cell_angle_alpha 60.00
_cell_angle_beta 60.00
_cell_angle_gamma 60.00
_space_group_name_H-M_alt 'P 1'
_space_group_IT_number 1
_space_group_name_Hall 'P 1'
loop_
_atom_site_label
_atom_site_type_symbol
_atom_site_fract_x
_atom_site_fract_y
_atom_site_fract_z
P1 P 0.4006 0.4006 0.4006
P2 P 0.4006 0.4006 0.7983
P3 P 0.4006 0.7983 0.4006
P4 P 0.7983 0.4006 0.4006
Au1 Au 0.7500 0.7500 0.7500
Se1 Se 0.0000 0.0000 0.0000
# - E (eV per atom) = -4.075
# - magnetic moment (μB per formula unit) = 0.000
# - E_form (uncorrected) (eV per atom) = 0.66

(2)
# HoTlCdTe3, relaxed, DFT PBE-GGA
data_HoTlCdTe3
_chemical_formula_sum 'Ho2 Tl2 Cd2 Te6'
_cell_length_a 9.4211
_cell_length_b 4.4845
_cell_length_c 10.5172
_cell_angle_alpha 90.00
_cell_angle_beta 106.58
_cell_angle_gamma 90.00
_space_group_name_H-M_alt 'P 1'
_space_group_IT_number 1
_space_group_name_Hall 'P 1'
loop_
_atom_site_label
_atom_site_type_symbol
_atom_site_fract_x
_atom_site_fract_y
_atom_site_fract_z
Ho1 Ho 0.1730 0.2500 0.1394
Ho2 Ho 0.8270 0.7500 0.8606
Tl1 Tl 0.2914 0.7500 0.7764
Tl2 Tl 0.7086 0.2500 0.2236
Cd1 Cd 0.4169 0.7500 0.3939
Cd2 Cd 0.5831 0.2500 0.6061
Te1 Te 0.0437 0.2500 0.8388
Te2 Te 0.2617 0.2500 0.4620
Te3 Te 0.3957 0.7500 0.1207
Te4 Te 0.6043 0.2500 0.8793
Te5 Te 0.7383 0.7500 0.5380
Te6 Te 0.9563 0.7500 0.1612
# - E (eV per atom) = -3.687
# - magnetic moment (μB per formula unit) = 0.000
# - E_form (uncorrected) (eV per atom) = -0.81

(3)
# TlMoRu2, relaxed, DFT PBE-GGA
data_TlMoRu2
_chemical_formula_sum 'Tl1 Mo1 Ru2'
_cell_length_a 2.8488
_cell_length_b 2.8488
_cell_length_c 9.3264
_cell_angle_alpha 90.00
_cell_angle_beta 90.00
_cell_angle_gamma 116.53
_space_group_name_H-M_alt 'P 1'
_space_group_IT_number 1
_space_group_name_Hall 'P 1'
loop_
_atom_site_label
_atom_site_type_symbol
_atom_site_fract_x
_atom_site_fract_y
_atom_site_fract_z
Tl1 Tl 0.0000 0.0000 0.0000
Mo1 Mo 0.5000 0.5000 0.7229
Ru1 Ru 0.0000 0.0000 0.4954
Ru2 Ru 0.5000 0.5000 0.2600
# - E (eV per atom) = -7.214
# - magnetic moment (μB per formula unit) = 1.041
# - energy of formation (eV/f.u.) = 2.89